Entry 1:
First-principles (PBE) data for a relaxed structure of LaZn2Au, as listed in Alexandria via LeMat-Bulk.

Output
The crystal system is tetragonal. For the total energy, the calculation gives -3.1169 eV per atom. The value obtained for the formation energy from the elements is -0.429 eV per atom.

a b c (Å): 4.9414 4.9414 7.0490
angles (deg): 90.00 90.00 90.00
With the nearest neighbours (Å) after each atom.
Space group I-4m2 (No. 119)
Unique sites:
La: 0.0000 0.0000 0.0000 x2  4 Zn 3.03, 4 Au 3.03
Zn: 0.0000 0.0000 0.5000 x2  4 Zn 3.03, 4 Au 3.03
Zn: 0.0000 0.5000 0.7500 x2  4 La 3.03, 4 Zn 3.03
Au: 0.0000 0.5000 0.2500 x2  4 La 3.03, 4 Zn 3.03



Entry 2:
First-principles (PBE) data for a relaxed structure of Ba2Np3O10, as listed in Alexandria via LeMat-Bulk.

Output
The crystal system is monoclinic. For the total energy, the calculation gives -9.0860 eV per atom. The uncorrected formation energy is -2.936 eV/atom.

a b c (Å): 19.6426 6.6747 8.4100
angles (deg): 90.00 113.65 90.00
With the nearest neighbours (Å) after each atom.
Space group C2/m (No. 12)
Unique sites:
Ba: 0.1093 0.0000 0.2290 x4  10 O 2.95-3.25
Ba: 0.2024 0.0000 0.8360 x4  6 O 2.72-3.01
Np: 0.0000 0.2464 0.5000 x4  6 O 2.05-2.20
Np: 0.0815 0.5000 0.9766 x4  4 O 1.97-2.19
Np: 0.1835 0.5000 0.5217 x4  2 O 1.90-1.97
O: 0.0000 0.2923 0.0000 x4  2 Np 2.19
O: 0.0200 0.0000 0.6758 x4  2 Np 2.14
O: 0.0245 0.5000 0.6808 x4  3 Np 2.20-2.28
O: 0.1090 0.2404 0.5302 x8  2 Np 2.05-2.29
O: 0.1303 0.5000 0.2671 x4  1 Np 1.97
O: 0.1520 0.2823 0.9955 x8  1 Np 1.97
O: 0.2362 0.5000 0.7666 x4  1 Np 1.90
O: 0.2500 0.2500 0.5000 x4  2 Np 2.17



Entry 3:
First-principles (PBE) data for a relaxed structure of SrLa2Cl, as listed in Alexandria via LeMat-Bulk.

Output
The crystal system is orthorhombic. For the total energy, the calculation gives -3.9539 eV per atom. The uncorrected formation energy is -0.608 eV/atom.

a b c (Å): 3.6067 5.4739 13.6314
angles (deg): 90.00 90.00 90.00
With the nearest neighbours (Å) after each atom.
Space group Immm (No. 71)
Unique sites:
Sr: 0.0000 0.0000 0.0000 x2  4 Cl 3.28, 2 Sr 3.61
La: 0.0000 0.5000 0.2078 x4  2 Cl 3.36, 6 La 3.47-3.61
Cl: 0.0000 0.0000 0.5000 x2  4 Sr 3.28, 4 La 3.36, 2 Cl 3.61



Entry 4:
First-principles (PBE) data for a relaxed structure of Y2HPtRh, as listed in Alexandria via LeMat-Bulk.

Output
The crystal system is tetragonal. For the total energy, the calculation gives -6.8391 eV per atom.

a b c (Å): 4.9444 4.9444 3.5568
angles (deg): 90.00 90.00 90.00
With the nearest neighbours (Å) after each atom.
Space group P4/mmm (No. 123)
Unique sites:
Y: 0.0000 0.5000 0.0000 x2  2 H 2.47
H: 0.0000 0.0000 0.0000 x1  2 Rh 1.78
Pt: 0.5000 0.5000 0.5000 x1  8 Y 3.05
Rh: 0.0000 0.0000 0.5000 x1  2 H 1.78